1.
LaTeAs2 | PBE-GGA | relaxed

a = 4.3407 Å, b = 4.3407 Å, c = 10.5925 Å
α = 90.00°, β = 90.00°, γ = 90.00°
Space group I-4m2 (No. 119)
One atom of each set of equivalent atoms:
1 La 0.0000 0.0000 0.0000 x2
2 Te 0.0000 0.5000 0.7500 x2
3 As 0.0000 0.0000 0.5000 x2
4 As 0.0000 0.5000 0.2500 x2

Properties
Formation energy (no corrections)   -2.63 eV/f.u.

2.
BeGaHg2Ge | PBE-GGA | relaxed

a = 5.2826 Å, b = 5.2826 Å, c = 4.2702 Å
α = 90.00°, β = 90.00°, γ = 90.00°
Space group P4/mmm (No. 123)
One atom of each set of equivalent atoms:
1 Be 0.0000 0.0000 0.0000 x1
2 Ga 0.0000 0.0000 0.5000 x1
3 Hg 0.0000 0.5000 0.5000 x2
4 Ge 0.5000 0.5000 0.0000 x1

Properties
Formation enthalpy at 0 K   0.6321 eV/atom

3.
Re2NiBr | PBE-GGA | relaxed

a = 2.9926 Å, b = 4.6055 Å, c = 9.8514 Å
α = 90.00°, β = 90.00°, γ = 90.00°
Space group Cmm2 (No. 35)
One atom of each set of equivalent atoms:
1 Re 0.0000 0.0000 0.0000 x2
2 Re 0.0000 0.5000 0.2178 x2
3 Ni 0.0000 0.5000 0.7949 x2
4 Br 0.0000 0.0000 0.5703 x2

Properties
Energy relative to the lowest polymorph listed for this composition   266 meV per atom
Formation energy (no corrections)   2.95 eV/f.u.

4.
LiCeScTc | PBE-GGA | relaxed

a = 6.7819 Å, b = 6.7819 Å, c = 6.7819 Å
α = 90.00°, β = 90.00°, γ = 90.00°
Space group F-43m (No. 216)
One atom of each set of equivalent atoms:
1 Li 0.0000 0.0000 0.0000 x4
2 Ce 0.2500 0.2500 0.7500 x4
3 Sc 0.2500 0.2500 0.2500 x4
4 Tc 0.0000 0.0000 0.5000 x4

Properties
Formation enthalpy at 0 K   -0.0685 eV/atom

Number 1: total magnetization 0.000 μB per atom. Number 2: total magnetization 0.000 μB per atom. Number 3: total magnetization 0.058 μB per atom. Number 4: total magnetization 0.007 μB per atom.